1.
{
  "formula": "KCoOs2",
  "functional": "PBE",
  "state": "relaxed",
  "formation_energy_ev_per_atom": 0.86,
  "magnetic_moment_mub_per_fu": 1.43,
  "e_above_lowest_polymorph_ev_per_atom": 0.0728,
  "lattice_angstrom": [[4.387, -1.358, 0.000], [4.387, 1.358, 0.000], [-0.671, 0.000, 6.836]],
  "species": ["K", "Co", "Os", "Os"],
  "fractional_positions": [[0.000, 0.000, 0.000], [0.227, 0.227, 0.657], [0.511, 0.511, 0.496], [0.772, 0.772, 0.372]]
}

2.
{
  "formula": "KCoOs",
  "functional": "PBE",
  "state": "relaxed",
  "formation_energy_ev_per_atom": 0.76,
  "magnetic_moment_mub_per_fu": 0.00,
  "e_above_lowest_polymorph_ev_per_atom": 0.1663,
  "lattice_angstrom": [[3.919, 0.000, 0.000], [1.959, 4.822, 0.000], [1.945, -0.728, 7.907]],
  "species": ["K", "K", "Co", "Co", "Os", "Os"],
  "fractional_positions": [[0.225, 0.215, 0.339], [0.775, 0.785, 0.661], [0.390, 0.372, 0.848], [0.610, 0.628, 0.152], [0.102, 0.762, 0.033], [0.898, 0.238, 0.967]]
}

3.
{
  "formula": "KCoOs2",
  "functional": "PBE",
  "state": "relaxed",
  "formation_energy_ev_per_atom": 0.98,
  "magnetic_moment_mub_per_fu": 0.82,
  "e_above_lowest_polymorph_ev_per_atom": 0.1880,
  "lattice_angstrom": [[-1.320, 2.344, 5.212], [1.320, -2.344, 5.212], [1.320, 2.344, -5.212]],
  "species": ["K", "Co", "Os", "Os"],
  "fractional_positions": [[0.000, 0.000, 0.000], [0.500, 0.500, 0.000], [0.287, 0.787, 0.500], [0.713, 0.213, 0.500]]
}

4.
{
  "formula": "KCoOs2",
  "functional": "PBE",
  "state": "relaxed",
  "formation_energy_ev_per_atom": 0.82,
  "magnetic_moment_mub_per_fu": 0.00,
  "e_above_lowest_polymorph_ev_per_atom": 0.0259,
  "lattice_angstrom": [[2.782, 0.000, 0.000], [0.000, 2.782, 0.000], [0.000, 0.000, 8.942]],
  "species": ["K", "Co", "Os", "Os"],
  "fractional_positions": [[0.000, 0.000, 0.000], [0.500, 0.500, 0.696], [0.000, 0.000, 0.520], [0.500, 0.500, 0.321]]
}

5.
{
  "formula": "KCoOs",
  "functional": "PBE",
  "state": "relaxed",
  "formation_energy_ev_per_atom": 0.64,
  "magnetic_moment_mub_per_fu": 1.38,
  "e_above_lowest_polymorph_ev_per_atom": 0.0426,
  "lattice_angstrom": [[2.755, 0.000, 0.000], [0.000, 4.113, 0.000], [-0.136, 0.000, 12.196]],
  "species": ["K", "K", "Co", "Co", "Os", "Os"],
  "fractional_positions": [[0.000, 0.000, 0.000], [0.476, 0.500, 0.649], [0.437, 0.500, 0.388], [0.928, 0.500, 0.213], [0.436, 0.000, 0.259], [0.943, 0.000, 0.437]]
}

6.
{
  "formula": "KCoOs2",
  "functional": "PBE",
  "state": "relaxed",
  "formation_energy_ev_per_atom": 1.50,
  "magnetic_moment_mub_per_fu": 1.93,
  "e_above_lowest_polymorph_ev_per_atom": 0.7099,
  "lattice_angstrom": [[0.000, 3.165, 3.165], [3.165, 0.000, 3.165], [3.165, 3.165, 0.000]],
  "species": ["K", "Co", "Os", "Os"],
  "fractional_positions": [[0.000, 0.000, 0.000], [0.750, 0.750, 0.750], [0.250, 0.250, 0.250], [0.500, 0.500, 0.500]]
}

7.
{
  "formula": "KCoOs",
  "functional": "PBE",
  "state": "relaxed",
  "formation_energy_ev_per_atom": 2.09,
  "magnetic_moment_mub_per_fu": 2.85,
  "e_above_lowest_polymorph_ev_per_atom": 1.4928,
  "lattice_angstrom": [[5.603, 0.000, 0.000], [-2.801, 4.852, 0.000], [0.000, 0.000, 8.755]],
  "species": ["K", "K", "Co", "Co", "Os", "Os"],
  "fractional_positions": [[0.333, 0.667, 0.250], [0.667, 0.333, 0.750], [0.000, 0.000, 0.250], [0.000, 0.000, 0.750], [0.000, 0.000, 0.000], [0.000, 0.000, 0.500]]
}

8.
{
  "formula": "KCoOs",
  "functional": "PBE",
  "state": "relaxed",
  "formation_energy_ev_per_atom": 0.60,
  "magnetic_moment_mub_per_fu": 1.68,
  "e_above_lowest_polymorph_ev_per_atom": 0.0000,
  "lattice_angstrom": [[3.676, -2.123, 0.000], [3.676, 2.123, 0.000], [-0.323, 0.000, 10.903]],
  "species": ["K", "K", "Co", "Co", "Os", "Os"],
  "fractional_positions": [[0.180, 0.180, 0.307], [0.820, 0.820, 0.693], [0.495, 0.495, 0.899], [0.505, 0.505, 0.101], [0.166, 0.166, 0.996], [0.834, 0.834, 0.004]]
}

9.
{
  "formula": "K4CoOs",
  "functional": "PBE",
  "state": "relaxed",
  "formation_energy_ev_per_atom": 1.70,
  "magnetic_moment_mub_per_fu": 4.15,
  "lattice_angstrom": [[0.000, 4.687, 4.687], [4.687, 0.000, 4.687], [4.687, 4.687, 0.000]],
  "species": ["K", "K", "K", "K", "Co", "Os"],
  "fractional_positions": [[0.125, 0.125, 0.125], [0.125, 0.125, 0.626], [0.125, 0.626, 0.125], [0.626, 0.125, 0.125], [0.500, 0.500, 0.500], [0.750, 0.750, 0.750]]
}

10.
{
  "formula": "KCoOs",
  "functional": "PBE",
  "state": "relaxed",
  "formation_energy_ev_per_atom": 0.60,
  "magnetic_moment_mub_per_fu": 1.59,
  "e_above_lowest_polymorph_ev_per_atom": 0.0007,
  "lattice_angstrom": [[4.245, 0.000, 0.000], [2.122, 3.677, 0.000], [0.017, 2.409, 10.881]],
  "species": ["K", "K", "Co", "Co", "Os", "Os"],
  "fractional_positions": [[0.234, 0.035, 0.192], [0.766, 0.965, 0.808], [0.033, 0.434, 0.601], [0.967, 0.566, 0.399], [0.335, 0.830, 0.504], [0.665, 0.170, 0.496]]
}

11.
{
  "formula": "KCoOs",
  "functional": "PBE",
  "state": "relaxed",
  "formation_energy_ev_per_atom": 1.37,
  "magnetic_moment_mub_per_fu": 0.94,
  "e_above_lowest_polymorph_ev_per_atom": 0.7726,
  "lattice_angstrom": [[4.504, 0.000, 0.000], [-2.252, 3.900, 0.000], [0.000, 0.000, 7.751]],
  "species": ["K", "K", "Co", "Co", "Os", "Os"],
  "fractional_positions": [[0.000, 0.000, 0.000], [0.000, 0.000, 0.500], [0.667, 0.333, 0.157], [0.667, 0.333, 0.843], [0.333, 0.667, 0.151], [0.333, 0.667, 0.849]]
}

12.
{
  "formula": "KCo3Os",
  "functional": "PBE",
  "state": "relaxed",
  "formation_energy_ev_per_atom": 2.73,
  "magnetic_moment_mub_per_fu": 6.61,
  "e_above_lowest_polymorph_ev_per_atom": 1.4560,
  "lattice_angstrom": [[4.295, 0.000, 0.000], [0.000, 4.295, 0.000], [0.000, 0.000, 4.295]],
  "species": ["K", "Co", "Co", "Co", "Os"],
  "fractional_positions": [[0.000, 0.000, 0.000], [0.000, 0.000, 0.500], [0.000, 0.500, 0.000], [0.500, 0.000, 0.000], [0.500, 0.500, 0.500]]
}